(1)
VASP calculation (PBE) on a relaxed structure of Zn2SiBC.

Summary:
Total energy: -16.70 eV/cell
DOS at the Fermi energy: 2.6 states/eV per cell
E_form (uncorrected): 1434 meV per atom

The structure in extended XYZ format:
```
5
Lattice="4.019 0.000 0.000 0.000 4.114 0.000 0.000 0.000 4.019" Properties=species:S:1:pos:R:3 pbc="T T T"
Si 0.000 2.057 0.000
Zn 2.010 0.000 0.000
Zn 0.000 0.000 2.010
B 0.000 0.000 0.000
C 2.010 2.057 2.010
```



(2)
VASP calculation (PBE) on a relaxed structure of Y4MgZn2Os.

Summary:
Total energy: -43.49 eV/cell
DOS at the Fermi energy: 5.8 states/eV per cell

The structure in extended XYZ format:
```
8
Lattice="5.064 0.000 0.000 2.532 4.386 0.000 2.532 1.462 8.310" Properties=species:S:1:pos:R:3 pbc="T T T"
Zn 7.597 4.386 6.472
Zn 2.532 1.462 1.838
Y 7.597 4.386 3.318
Y 2.532 1.462 4.991
Y 5.064 2.924 7.006
Y 5.064 2.924 1.304
Mg 0.000 0.000 0.000
Os 5.064 2.924 4.155
```



Q: What is the formula in the first record?
A: Zn2SiBC



Q: The highest DOS at the Fermi energy belongs to which entry?
A: Y4MgZn2Os